# 1
Computed, not measured: a relaxed DyCd2Sn crystal at the PBE-GGA level of DFT.

Cell: 3.3374 3.3374 11.6688 Å, 81.78 81.78 60.00°
Positions (direct):
Cd 0.0903 0.0903 0.7292
Cd 0.9097 0.9097 0.2708
Sn 0.5000 0.5000 0.5000
Dy 0.0000 0.0000 0.0000

Output
uncorrected energy	-0.179	Ry per atom
DFT formation energy	0.175	eV/atom
ρ	7570	kg/m3
total magnetic moment	0.00	μB/atom
energy above the most stable polymorph in this dataset	595	meV per atom

=====

# 2
Computed, not measured: a relaxed FeTe2Ir crystal at the PBE-GGA level of DFT.

Cell: 5.6288 5.6288 5.6288 Å, 138.57 138.57 60.03°
Each line ends with the local moment (μB).
Positions (direct):
Fe 0.5000 0.5000 0.0000  2.71
Ir 0.7500 0.2500 0.5000  0.12
Te 0.0000 0.0000 0.0000  -0.03
Te 0.2500 0.7500 0.5000  0.01

Output
uncorrected energy	-0.388	Ry per atom
ρ	10814	kg/m3
formation energy from raw total energies	619	meV per atom
total magnetic moment	0.70	μB/atom
energy above the most stable polymorph in this dataset	617	meV per atom

=====

# 3
Computed, not measured: a relaxed ErZn10Ag2 crystal at the PBE-GGA level of DFT.

Cell: 5.4248 6.9423 6.7705 Å, 80.99 66.38 67.00°
Positions (direct):
Er 0.0000 0.0000 0.0000
Zn 0.3537 0.6532 0.6394
Zn 0.6463 0.3468 0.3606
Zn 0.0069 0.3468 0.6394
Zn 0.9931 0.6532 0.3606
Zn 0.0000 0.0000 0.5000
Zn 0.5000 0.0000 0.5000
Zn 0.2879 0.2075 0.2166
Zn 0.7121 0.7925 0.7834
Zn 0.4954 0.7925 0.2166
Zn 0.5046 0.2075 0.7834
Ag 0.0000 0.5000 0.0000
Ag 0.5000 0.5000 0.0000

Output
uncorrected energy	-0.139	Ry per atom
DFT formation energy	-0.126	eV/atom
ρ	8008	kg/m3
total magnetic moment	0.00	μB/atom

=====

- Number 1 is which compound?
  DyCd2Sn

=====

- Which of these has the highest total magnetic moment?
  FeTe2Ir

=====

- Which of these has the highest total magnetic moment?
  FeTe2Ir

=====

- The highest ρ belongs to which entry?
  FeTe2Ir